1.
VASP calculation (PBE-GGA) on an optimized crystal structure of ScRe2Se.

The value obtained for the uncorrected formation energy is 0.300 eV/atom.

Structure (CIF):
```
data_ScRe2Se
_symmetry_space_group_name_H-M 'I -4 m 2'
_symmetry_Int_Tables_number 119
_symmetry_space_group_name_Hall 'I -4 -2'
_cell_length_a 4.251
_cell_length_b 4.251
_cell_length_c 7.308
_cell_angle_alpha 90.00
_cell_angle_beta 90.00
_cell_angle_gamma 90.00
loop_
_atom_site_label
_atom_site_fract_x
_atom_site_fract_y
_atom_site_fract_z
Sc1 0.000 0.000 0.000
Re1 0.000 0.000 0.500
Re2 0.000 0.500 0.250
Se1 0.000 0.500 0.750
```

2.
VASP calculation (PBE-GGA) on an optimized crystal structure of Sc2ReSe.

The value obtained for the uncorrected formation energy is -0.470 eV/atom.

Structure (CIF):
```
data_Sc2ReSe
_symmetry_space_group_name_H-M 'P 4/m m m'
_symmetry_Int_Tables_number 123
_symmetry_space_group_name_Hall '-P 4 2'
_cell_length_a 4.623
_cell_length_b 4.623
_cell_length_c 3.388
_cell_angle_alpha 90.00
_cell_angle_beta 90.00
_cell_angle_gamma 90.00
loop_
_atom_site_label
_atom_site_fract_x
_atom_site_fract_y
_atom_site_fract_z
Sc1 0.000 0.500 0.000
Re1 0.000 0.000 0.500
Se1 0.500 0.500 0.500
```

3.
VASP calculation (PBE-GGA) on an optimized crystal structure of Sc2ReSe.

The value obtained for the uncorrected formation energy is -0.201 eV/atom.

Structure (CIF):
```
data_Sc2ReSe
_symmetry_space_group_name_H-M 'C 1 2/m 1'
_symmetry_Int_Tables_number 12
_cell_length_a 8.654
_cell_length_b 3.560
_cell_length_c 5.046
_cell_angle_alpha 90.00
_cell_angle_beta 108.52
_cell_angle_gamma 90.00
loop_
_symmetry_equiv_pos_as_xyz
'x,y,z'
'-x,-y,-z'
'-x,y,-z'
'x,-y,z'
'x+1/2,y+1/2,z'
'-x+1/2,-y+1/2,-z'
'-x+1/2,y+1/2,-z'
'x+1/2,-y+1/2,z'
loop_
_atom_site_label
_atom_site_fract_x
_atom_site_fract_y
_atom_site_fract_z
Sc1 0.243 0.000 0.243
Re1 0.000 0.000 0.500
Se1 0.000 0.500 0.000
```

4.
VASP calculation (PBE-GGA) on an optimized crystal structure of ScRe2Se.

The value obtained for the uncorrected formation energy is 0.088 eV/atom.

Structure (CIF):
```
data_ScRe2Se
_symmetry_space_group_name_H-M 'P 1 2/m 1'
_symmetry_Int_Tables_number 10
_cell_length_a 3.240
_cell_length_b 5.261
_cell_length_c 4.184
_cell_angle_alpha 90.00
_cell_angle_beta 92.09
_cell_angle_gamma 90.00
loop_
_symmetry_equiv_pos_as_xyz
'x,y,z'
'-x,-y,-z'
'-x,y,-z'
'x,-y,z'
loop_
_atom_site_label
_atom_site_fract_x
_atom_site_fract_y
_atom_site_fract_z
Sc1 0.000 0.000 0.000
Re1 0.286 0.500 0.234
Se1 0.500 0.000 0.500
```

5.
VASP calculation (PBE-GGA) on an optimized crystal structure of ScReSe.

The calculation puts the energy above the most stable polymorph in this dataset at 0.416 eV per atom. The value obtained for the uncorrected formation energy is 0.236 eV/atom.

Structure (CIF):
```
data_ScReSe
_symmetry_space_group_name_H-M 'F -4 3 m'
_symmetry_Int_Tables_number 216
_symmetry_space_group_name_Hall 'F -4 2 3'
_cell_length_a 6.094
_cell_length_b 6.094
_cell_length_c 6.094
_cell_angle_alpha 90.00
_cell_angle_beta 90.00
_cell_angle_gamma 90.00
loop_
_atom_site_label
_atom_site_fract_x
_atom_site_fract_y
_atom_site_fract_z
Sc1 0.000 0.000 0.000
Re1 0.000 0.000 0.500
Se1 0.250 0.250 0.750
```

6.
VASP calculation (PBE-GGA) on an optimized crystal structure of ScReSe.

The calculation puts the energy above the most stable polymorph in this dataset at 0.809 eV per atom. The value obtained for the uncorrected formation energy is 0.629 eV/atom.

Structure (CIF):
```
data_ScReSe
_symmetry_space_group_name_H-M 'F -4 3 m'
_symmetry_Int_Tables_number 216
_symmetry_space_group_name_Hall 'F -4 2 3'
_cell_length_a 6.241
_cell_length_b 6.241
_cell_length_c 6.241
_cell_angle_alpha 90.00
_cell_angle_beta 90.00
_cell_angle_gamma 90.00
loop_
_atom_site_label
_atom_site_fract_x
_atom_site_fract_y
_atom_site_fract_z
Sc1 0.000 0.000 0.000
Re1 0.250 0.250 0.750
Se1 0.250 0.250 0.250
```

7.
VASP calculation (PBE-GGA) on an optimized crystal structure of ScRe2Si.

The value obtained for the uncorrected formation energy is -0.214 eV/atom.

Structure (CIF):
```
data_ScRe2Si
_symmetry_space_group_name_H-M 'P 4 m m'
_symmetry_Int_Tables_number 99
_cell_length_a 2.968
_cell_length_b 2.968
_cell_length_c 7.214
_cell_angle_alpha 90.00
_cell_angle_beta 90.00
_cell_angle_gamma 90.00
loop_
_symmetry_equiv_pos_as_xyz
'x,y,z'
'-y,x,z'
'-x,-y,z'
'y,-x,z'
'-x,y,z'
'y,x,z'
'x,-y,z'
'-y,-x,z'
loop_
_atom_site_label
_atom_site_fract_x
_atom_site_fract_y
_atom_site_fract_z
Sc1 0.000 0.000 0.000
Re1 0.000 0.000 0.482
Re2 0.500 0.500 0.714
Si1 0.500 0.500 0.284
```

8.
VASP calculation (PBE-GGA) on an optimized crystal structure of ScRe3Si.

The calculation puts the energy above the most stable polymorph in this dataset at 0.000 eV per atom. The value obtained for the uncorrected formation energy is 0.735 eV/atom.

Structure (CIF):
```
data_ScRe3Si
_symmetry_space_group_name_H-M 'P m -3 m'
_symmetry_Int_Tables_number 221
_symmetry_space_group_name_Hall '-P 4 2 3'
_cell_length_a 4.459
_cell_length_b 4.459
_cell_length_c 4.459
_cell_angle_alpha 90.00
_cell_angle_beta 90.00
_cell_angle_gamma 90.00
loop_
_atom_site_label
_atom_site_fract_x
_atom_site_fract_y
_atom_site_fract_z
Sc1 0.000 0.000 0.000
Re1 0.000 0.500 0.500
Si1 0.500 0.500 0.500
```

9.
VASP calculation (PBE-GGA) on an optimized crystal structure of ScRe2Si2.

The value obtained for the uncorrected formation energy is -0.342 eV/atom.

Structure (CIF):
```
data_ScRe2Si2
_symmetry_space_group_name_H-M 'P 4/m b m'
_symmetry_Int_Tables_number 127
_symmetry_space_group_name_Hall '-P 4 2ab'
_cell_length_a 7.058
_cell_length_b 7.058
_cell_length_c 3.006
_cell_angle_alpha 90.00
_cell_angle_beta 90.00
_cell_angle_gamma 90.00
loop_
_atom_site_label
_atom_site_fract_x
_atom_site_fract_y
_atom_site_fract_z
Sc1 0.000 0.000 0.000
Re1 0.152 0.348 0.500
Si1 0.139 0.639 0.000
```

10.
VASP calculation (PBE-GGA) on an optimized crystal structure of ScRe2Si.

The value obtained for the uncorrected formation energy is 0.099 eV/atom.

Structure (CIF):
```
data_ScRe2Si
_symmetry_space_group_name_H-M 'R -3 m'
_symmetry_Int_Tables_number 166
_symmetry_space_group_name_Hall '-R 3 2"'
_cell_length_a 2.9451
_cell_length_b 2.9451
_cell_length_c 25.1481
_cell_angle_alpha 90.00
_cell_angle_beta 90.00
_cell_angle_gamma 120.00
loop_
_atom_site_label
_atom_site_fract_x
_atom_site_fract_y
_atom_site_fract_z
Sc1 0.0000 0.0000 0.0000
Re1 0.0000 0.0000 0.2411
Si1 0.0000 0.0000 0.5000
```

11.
VASP calculation (PBE-GGA) on an optimized crystal structure of ScReSi.

The value obtained for the uncorrected formation energy is -0.098 eV/atom.

Structure (CIF):
```
data_ScReSi
_symmetry_space_group_name_H-M 'F m m 2'
_symmetry_Int_Tables_number 42
_symmetry_space_group_name_Hall 'F 2 -2'
_cell_length_a 3.342
_cell_length_b 4.689
_cell_length_c 12.369
_cell_angle_alpha 90.00
_cell_angle_beta 90.00
_cell_angle_gamma 90.00
loop_
_atom_site_label
_atom_site_fract_x
_atom_site_fract_y
_atom_site_fract_z
Sc1 0.000 0.000 0.000
Re1 0.000 0.000 0.678
Si1 0.000 0.000 0.323
```

12.
VASP calculation (PBE-GGA) on an optimized crystal structure of ScRe2Si.

The value obtained for the uncorrected formation energy is -0.177 eV/atom.

Structure (CIF):
```
data_ScRe2Si
_symmetry_space_group_name_H-M 'I m m 2'
_symmetry_Int_Tables_number 44
_cell_length_a 3.100
_cell_length_b 4.297
_cell_length_c 9.188
_cell_angle_alpha 90.00
_cell_angle_beta 90.00
_cell_angle_gamma 90.00
loop_
_symmetry_equiv_pos_as_xyz
'x,y,z'
'-x,-y,z'
'-x,y,z'
'x,-y,z'
'x+1/2,y+1/2,z+1/2'
'-x+1/2,-y+1/2,z+1/2'
'-x+1/2,y+1/2,z+1/2'
'x+1/2,-y+1/2,z+1/2'
loop_
_atom_site_label
_atom_site_fract_x
_atom_site_fract_y
_atom_site_fract_z
Sc1 0.000 0.000 0.000
Re1 0.000 0.000 0.503
Re2 0.000 0.500 0.240
Si1 0.000 0.500 0.776
```

13.
VASP calculation (PBE-GGA) on an optimized crystal structure of ScReSi.

The value obtained for the uncorrected formation energy is -0.449 eV/atom.

Structure (CIF):
```
data_ScReSi
_symmetry_space_group_name_H-M 'I 4 m m'
_symmetry_Int_Tables_number 107
_symmetry_space_group_name_Hall 'I 4 -2'
_cell_length_a 3.232
_cell_length_b 3.232
_cell_length_c 9.292
_cell_angle_alpha 90.00
_cell_angle_beta 90.00
_cell_angle_gamma 90.00
loop_
_atom_site_label
_atom_site_fract_x
_atom_site_fract_y
_atom_site_fract_z
Sc1 0.000 0.000 0.000
Re1 0.000 0.000 0.308
Si1 0.000 0.000 0.694
```

14.
VASP calculation (PBE-GGA) on an optimized crystal structure of ScReSi.

The value obtained for the uncorrected formation energy is 0.906 eV/atom.

Structure (CIF):
```
data_ScReSi
_symmetry_space_group_name_H-M 'F -4 3 m'
_symmetry_Int_Tables_number 216
_symmetry_space_group_name_Hall 'F -4 2 3'
_cell_length_a 6.155
_cell_length_b 6.155
_cell_length_c 6.155
_cell_angle_alpha 90.00
_cell_angle_beta 90.00
_cell_angle_gamma 90.00
loop_
_atom_site_label
_atom_site_fract_x
_atom_site_fract_y
_atom_site_fract_z
Sc1 0.000 0.000 0.000
Re1 0.250 0.250 0.250
Si1 0.250 0.250 0.750
```

15.
VASP calculation (PBE-GGA) on an optimized crystal structure of Sc4ReSi.

The value obtained for the uncorrected formation energy is 0.542 eV/atom.

Structure (CIF):
```
data_Sc4ReSi
_symmetry_space_group_name_H-M 'F -4 3 m'
_symmetry_Int_Tables_number 216
_symmetry_space_group_name_Hall 'F -4 2 3'
_cell_length_a 7.707
_cell_length_b 7.707
_cell_length_c 7.707
_cell_angle_alpha 90.00
_cell_angle_beta 90.00
_cell_angle_gamma 90.00
loop_
_atom_site_label
_atom_site_fract_x
_atom_site_fract_y
_atom_site_fract_z
Sc1 0.123 0.123 0.377
Re1 0.250 0.250 0.750
Si1 0.000 0.000 0.000
```

16.
VASP calculation (PBE-GGA) on an optimized crystal structure of ScRe4Si2.

The value obtained for the uncorrected formation energy is 1.779 eV/atom.

Structure (CIF):
```
data_ScRe4Si2
_symmetry_space_group_name_H-M 'I 4/m m m'
_symmetry_Int_Tables_number 139
_symmetry_space_group_name_Hall '-I 4 2'
_cell_length_a 4.552
_cell_length_b 4.552
_cell_length_c 12.220
_cell_angle_alpha 90.00
_cell_angle_beta 90.00
_cell_angle_gamma 90.00
loop_
_atom_site_label
_atom_site_fract_x
_atom_site_fract_y
_atom_site_fract_z
Sc1 0.000 0.000 0.000
Re1 0.000 0.000 0.202
Re2 0.000 0.500 0.000
Si1 0.000 0.000 0.392
```

17.
VASP calculation (PBE-GGA) on an optimized crystal structure of ScRe2Si.

The value obtained for the uncorrected formation energy is 0.051 eV/atom.

Structure (CIF):
```
data_ScRe2Si
_symmetry_space_group_name_H-M 'R 3 m'
_symmetry_Int_Tables_number 160
_symmetry_space_group_name_Hall 'R 3 -2"'
_cell_length_a 2.9118
_cell_length_b 2.9118
_cell_length_c 26.3153
_cell_angle_alpha 90.00
_cell_angle_beta 90.00
_cell_angle_gamma 120.00
loop_
_atom_site_label
_atom_site_fract_x
_atom_site_fract_y
_atom_site_fract_z
Sc1 0.0000 0.0000 0.0000
Re1 0.0000 0.0000 0.5025
Re2 0.0000 0.0000 0.7560
Si1 0.0000 0.0000 0.2427
```

18.
VASP calculation (PBE-GGA) on an optimized crystal structure of ScReSi.

The value obtained for the uncorrected formation energy is -0.562 eV/atom.

Structure (CIF):
```
data_ScReSi
_symmetry_space_group_name_H-M 'P m m a'
_symmetry_Int_Tables_number 51
_cell_length_a 12.176
_cell_length_b 3.438
_cell_length_c 6.899
_cell_angle_alpha 90.00
_cell_angle_beta 90.00
_cell_angle_gamma 90.00
loop_
_symmetry_equiv_pos_as_xyz
'x,y,z'
'-x,-y,-z'
'-x+1/2,-y,z'
'x+1/2,y,-z'
'x+1/2,-y,-z'
'-x+1/2,y,z'
'-x,y,-z'
'x,-y,z'
loop_
_atom_site_label
_atom_site_fract_x
_atom_site_fract_y
_atom_site_fract_z
Sc1 0.050 0.000 0.237
Sc2 0.250 0.000 0.662
Re1 0.122 0.500 0.923
Re2 0.250 0.500 0.311
Si1 0.094 0.500 0.558
Si2 0.250 0.000 0.052
```

19.
VASP calculation (PBE-GGA) on an optimized crystal structure of Sc2Re3Si4.

The calculation puts the energy above the most stable polymorph in this dataset at 0.000 eV per atom. The value obtained for the uncorrected formation energy is -0.639 eV/atom.

Structure (CIF):
```
data_Sc2Re3Si4
_symmetry_space_group_name_H-M 'P 41 21 2'
_symmetry_Int_Tables_number 92
_cell_length_a 6.629
_cell_length_b 6.629
_cell_length_c 12.433
_cell_angle_alpha 90.00
_cell_angle_beta 90.00
_cell_angle_gamma 90.00
loop_
_symmetry_equiv_pos_as_xyz
'x,y,z'
'-y+1/2,x+1/2,z+1/4'
'-x,-y,z+1/2'
'y+1/2,-x+1/2,z+3/4'
'x+1/2,-y+1/2,-z+3/4'
'-y,-x,-z+1/2'
'-x+1/2,y+1/2,-z+1/4'
'y,x,-z'
loop_
_atom_site_label
_atom_site_fract_x
_atom_site_fract_y
_atom_site_fract_z
Sc1 0.007 0.342 0.219
Re1 0.019 0.185 0.618
Re2 0.168 0.168 0.000
Si1 0.027 0.279 0.813
Si2 0.121 0.805 0.930
```

20.
VASP calculation (PBE-GGA) on an optimized crystal structure of Sc5Re8Si12.

The value obtained for the uncorrected formation energy is -0.619 eV/atom.

Structure (CIF):
```
data_Sc5Re8Si12
_symmetry_space_group_name_H-M 'A m m 2'
_symmetry_Int_Tables_number 38
_cell_length_a 14.529
_cell_length_b 19.736
_cell_length_c 5.250
_cell_angle_alpha 90.00
_cell_angle_beta 90.00
_cell_angle_gamma 90.00
loop_
_symmetry_equiv_pos_as_xyz
'x,y,z'
'-x,-y,z'
'-x,y,z'
'x,-y,z'
'x,y+1/2,z+1/2'
'-x,-y+1/2,z+1/2'
'-x,y+1/2,z+1/2'
'x,-y+1/2,z+1/2'
loop_
_atom_site_label
_atom_site_fract_x
_atom_site_fract_y
_atom_site_fract_z
Sc1 0.000 0.000 0.000
Sc2 0.173 0.136 0.287
Sc3 0.324 0.134 0.791
Sc4 0.500 0.000 0.524
Re1 0.000 0.101 0.536
Re2 0.126 0.206 0.795
Re3 0.221 0.000 0.072
Re4 0.269 0.000 0.563
Re5 0.393 0.201 0.292
Re6 0.500 0.084 0.037
Si1 0.000 0.140 0.032
Si2 0.000 0.221 0.459
Si3 0.103 0.000 0.426
Si4 0.147 0.081 0.781
Si5 0.258 0.250 0.041
Si6 0.351 0.078 0.287
Si7 0.379 0.000 0.913
Si8 0.500 0.131 0.552
Si9 0.500 0.208 0.928
```